Version i
Entry from the Alexandria database: crystalline P3C at its relaxed geometry (PBE).

Summary:
SG	No. 1
total magnetic moment	0.000	μB/cell

Lattice parameters (Å, degrees): 3.213 4.329 4.348 102.34 90.89 111.68
Fractional coordinates of all 4 atoms:
P  0.780  0.804  0.253
P  0.515  0.274  0.897
P  0.190  0.616  0.519
C  0.988  0.210  0.147

=====

Version ii
Entry from the Alexandria database: crystalline P3C at its relaxed geometry (PBE).

Summary:
SG	No. 71
total magnetic moment	0.000	μB/cell

Lattice parameters (Å, degrees): 5.551 5.551 5.551 151.83 132.23 56.38
Fractional coordinates of all 4 atoms:
P  0.362  0.362  0.000
P  0.638  0.638  0.000
P  0.000  0.500  0.500
C  0.500  0.000  0.500

=====

Most stable pick: version i. Distance to second place: 602 meV/atom.

=====

Version i
Entry from the Alexandria database: crystalline TaAl2Ag at its relaxed geometry (PBE).

Summary:
SG	No. 216
total magnetic moment	1.452	μB/cell

Lattice parameters (Å, degrees): 4.592 4.592 4.592 60.00 60.00 60.00
Each line ends with the local moment (μB).
Fractional coordinates of all 4 atoms:
Al  0.000  0.000  0.000  0.02
Al  0.250  0.250  0.250  -0.01
Ag  0.500  0.500  0.500  0.04
Ta  0.750  0.750  0.750  0.91

=====

Version ii
Entry from the Alexandria database: crystalline TaAl2Ag at its relaxed geometry (PBE).

Summary:
SG	No. 123
total magnetic moment	0.000	μB/cell

Lattice parameters (Å, degrees): 4.701 4.701 3.021 90.00 90.00 90.00
Fractional coordinates of all 4 atoms:
Al  0.000  0.000  0.000
Al  0.500  0.500  0.000
Ag  0.000  0.500  0.500
Ta  0.500  0.000  0.500

=====

Most stable pick: version ii. Distance to second place: 390 meV/atom.

=====

Version i
Entry from the Alexandria database: crystalline AlHgW2 at its relaxed geometry (PBE).

Summary:
SG	No. 99
total magnetic moment	0.000	μB/cell

Lattice parameters (Å, degrees): 2.785 2.785 8.940 90.00 90.00 90.00
Fractional coordinates of all 4 atoms:
Hg  0.500  0.500  0.748
W  0.000  0.000  0.014
W  0.500  0.500  0.260
Al  0.000  0.000  0.478

=====

Version ii
Entry from the Alexandria database: crystalline AlHgW2 at its relaxed geometry (PBE).

Summary:
SG	No. 47
total magnetic moment	0.000	μB/cell

Lattice parameters (Å, degrees): 3.294 4.439 4.606 90.00 90.00 90.00
Fractional coordinates of all 4 atoms:
Hg  0.000  0.500  0.500
W  0.000  0.000  0.000
W  0.500  0.500  0.000
Al  0.500  0.000  0.500

=====

Most stable pick: version i. Distance to second place: 5 meV/atom.

=====

Version i
Entry from the Alexandria database: crystalline ScTlZn2 at its relaxed geometry (PBE).

Summary:
SG	No. 10
total magnetic moment	0.004	μB/cell

Lattice parameters (Å, degrees): 4.535 3.165 5.676 89.87 90.00 90.00
Fractional coordinates of all 4 atoms:
Sc  0.500  0.250  0.250
Tl  0.500  0.750  0.750
Zn  0.000  0.754  0.031
Zn  0.000  0.746  0.469

=====

Version ii
Entry from the Alexandria database: crystalline ScTlZn2 at its relaxed geometry (PBE).

Summary:
SG	No. 6
total magnetic moment	0.000	μB/cell

Lattice parameters (Å, degrees): 4.351 3.296 5.826 74.13 90.00 90.00
Fractional coordinates of all 4 atoms:
Sc  0.000  0.463  0.457
Tl  0.500  0.800  0.776
Zn  0.000  0.176  0.013
Zn  0.500  0.061  0.254

=====

Most stable pick: version i. Distance to second place: 8 meV/atom.

=====

Version i
Entry from the Alexandria database: crystalline NaRe at its relaxed geometry (PBE).

Summary:
SG	No. 65
total magnetic moment	0.000	μB/cell

Lattice parameters (Å, degrees): 5.121 9.766 4.221 90.00 90.00 90.00
Fractional coordinates of all 12 atoms:
Na  0.000  0.836  0.500
Na  0.000  0.164  0.500
Na  0.500  0.336  0.500
Na  0.500  0.664  0.500
Na  0.000  0.000  0.000
Na  0.500  0.500  0.000
Re  0.000  0.354  0.000
Re  0.000  0.646  0.000
Re  0.500  0.854  0.000
Re  0.500  0.146  0.000
Re  0.500  0.000  0.500
Re  0.000  0.500  0.500

=====

Version ii
Entry from the Alexandria database: crystalline NaRe at its relaxed geometry (PBE).

Summary:
SG	No. 70
total magnetic moment	8.597	μB/cell

Lattice parameters (Å, degrees): 5.568 14.163 8.016 90.00 90.00 90.00
Each line ends with the local moment (μB).
Fractional coordinates of all 32 atoms:
Na  0.000  0.000  0.652  0.00
Na  0.000  0.000  0.348  0.00
Na  0.250  0.750  0.598  0.00
Na  0.250  0.750  0.902  0.00
Na  0.000  0.500  0.152  0.00
Na  0.000  0.500  0.848  0.00
Na  0.250  0.250  0.098  0.00
Na  0.250  0.250  0.402  0.00
Na  0.500  0.000  0.152  0.00
Na  0.500  0.000  0.848  0.00
Na  0.750  0.750  0.098  0.00
Na  0.750  0.750  0.402  0.00
Na  0.500  0.500  0.652  0.00
Na  0.500  0.500  0.348  0.00
Na  0.750  0.250  0.598  0.00
Na  0.750  0.250  0.902  0.00
Re  0.000  0.084  0.000  0.41
Re  0.000  0.916  0.000  0.41
Re  0.250  0.666  0.250  0.41
Re  0.250  0.834  0.250  0.41
Re  0.000  0.584  0.500  0.41
Re  0.000  0.416  0.500  0.41
Re  0.250  0.166  0.750  0.41
Re  0.250  0.334  0.750  0.41
Re  0.500  0.084  0.500  0.41
Re  0.500  0.916  0.500  0.41
Re  0.750  0.666  0.750  0.41
Re  0.750  0.834  0.750  0.41
Re  0.500  0.584  0.000  0.41
Re  0.500  0.416  0.000  0.41
Re  0.750  0.166  0.250  0.41
Re  0.750  0.334  0.250  0.41

=====

Most stable pick: version i. Distance to second place: 206 meV/atom.